The following is a DFT calculation (PBE-GGA) of YTh5As6 after structural relaxation.

Cell and atoms, written as CIF:
```
data_YTh5As6
_symmetry_space_group_name_H-M 'C 1 2/m 1'
_symmetry_Int_Tables_number 12
_symmetry_space_group_name_Hall '-C 2y'
_cell_length_a 7.332
_cell_length_b 12.704
_cell_length_c 7.335
_cell_angle_alpha 90.00
_cell_angle_beta 109.50
_cell_angle_gamma 90.00
loop_
_atom_site_label
_atom_site_type_symbol
_atom_site_fract_x
_atom_site_fract_y
_atom_site_fract_z
Y1 Y 0.000 0.000 0.000
Th1 Th 0.000 0.167 0.500
Th2 Th 0.000 0.334 0.000
Th3 Th 0.000 0.500 0.500
As1 As 0.246 0.000 0.752
As2 As 0.247 0.165 0.247
```

The total energy comes out at -7.38 eV/atom. The formation energy from the elements comes out at -1420 meV/atom.

The following is a DFT calculation (PBE-GGA) of YTh3As6 after structural relaxation.

Cell and atoms, written as CIF:
```
data_YTh3As6
_symmetry_space_group_name_H-M 'P -1'
_symmetry_Int_Tables_number 2
_symmetry_space_group_name_Hall '-P 1'
_cell_length_a 6.136
_cell_length_b 6.225
_cell_length_c 9.360
_cell_angle_alpha 71.61
_cell_angle_beta 71.16
_cell_angle_gamma 60.91
loop_
_atom_site_label
_atom_site_type_symbol
_atom_site_fract_x
_atom_site_fract_y
_atom_site_fract_z
Y1 Y 0.000 0.000 0.000
Th1 Th 0.293 0.297 0.120
Th2 Th 0.500 0.500 0.500
As1 As 0.251 0.715 0.779
As2 As 0.254 0.248 0.775
As3 As 0.277 0.753 0.225
```

The total energy comes out at -6.29 eV/atom. The formation energy from the elements comes out at -629 meV/atom.

The following is a DFT calculation (PBE-GGA) of Y2ThZrAs4 after structural relaxation.

Cell and atoms, written as CIF:
```
data_Y2ThZrAs4
_symmetry_space_group_name_H-M 'P 1 2/m 1'
_symmetry_Int_Tables_number 10
_symmetry_space_group_name_Hall '-P 2y'
_cell_length_a 7.087
_cell_length_b 4.098
_cell_length_c 7.103
_cell_angle_alpha 90.00
_cell_angle_beta 109.42
_cell_angle_gamma 90.00
loop_
_atom_site_label
_atom_site_type_symbol
_atom_site_fract_x
_atom_site_fract_y
_atom_site_fract_z
Y1 Y 0.000 0.000 0.000
Y2 Y 0.500 0.500 0.000
Th1 Th 0.000 0.500 0.500
Zr1 Zr 0.500 0.000 0.500
As1 As 0.262 0.000 0.751
As2 As 0.263 0.500 0.257
```

The total energy comes out at -7.31 eV/atom. The formation energy from the elements comes out at -1375 meV/atom.

The following is a DFT calculation (PBE-GGA) of Th2ZnAs after structural relaxation.

Cell and atoms, written as CIF:
```
data_Th2ZnAs
_symmetry_space_group_name_H-M 'R -3 m'
_symmetry_Int_Tables_number 166
_symmetry_space_group_name_Hall '-R 3 2"'
_cell_length_a 3.8876
_cell_length_b 3.8876
_cell_length_c 29.8065
_cell_angle_alpha 90.00
_cell_angle_beta 90.00
_cell_angle_gamma 120.00
loop_
_atom_site_label
_atom_site_type_symbol
_atom_site_fract_x
_atom_site_fract_y
_atom_site_fract_z
Th1 Th 0.0000 0.0000 0.1047
Zn1 Zn 0.0000 0.0000 0.0000
As1 As 0.0000 0.0000 0.5000
```

The total energy comes out at -5.30 eV/atom. The formation energy from the elements comes out at -105 meV/atom.